Mn3O5F (PBE with a Hubbard U, optimized geometry); crystal system = monoclinic; distance to the lowest polymorph of the same formula = 0.007 eV per atom; total moment = 19.995 μB per cell; SG = Cm, No. 8; N(E_F) = 2.40 states/eV/f.u.
1.0
4.441 -3.155 0.000
4.441 3.155 0.000
-2.799 0.000 6.674
Mn O F
6 10 2
Cartesian
0.000 0.000 0.000 Mn
-1.419 0.000 3.442 Mn
0.557 0.000 5.690 Mn
2.208 0.000 2.180 Mn
5.512 0.000 1.157 Mn
4.129 0.000 4.532 Mn
2.071 1.920 2.289 O
1.930 0.000 0.243 O
4.414 1.220 0.094 O
4.094 1.930 4.506 O
4.073 0.000 2.569 O
2.071 -1.920 2.289 O
4.414 -1.220 0.094 O
4.147 0.000 6.477 O
6.013 0.000 4.778 O
4.094 -1.930 4.506 O
0.147 0.000 2.026 F
2.113 0.000 4.320 F